DFT (PBE) results for a relaxed Y3Co4Ge13 crystal.

Values from the calculation:
total magnetic moment: 0.000 Bohr magnetons per cell

Cell and atoms, written as CIF:
```
data_Y3Co4Ge13
_chemical_formula_sum 'Y6 Co8 Ge26'
_cell_length_a 8.799
_cell_length_b 8.799
_cell_length_c 8.799
_cell_angle_alpha 90.00
_cell_angle_beta 90.00
_cell_angle_gamma 90.00
_space_group_name_H-M_alt 'P m -3 n'
_space_group_IT_number 223
_space_group_name_Hall '-P 4n 2 3'
loop_
_atom_site_label
_atom_site_fract_x
_atom_site_fract_y
_atom_site_fract_z
Y1 0.000 0.250 0.500
Co1 0.250 0.250 0.250
Ge1 0.000 0.000 0.000
Ge2 0.000 0.303 0.153
```


DFT (PBE) results for a relaxed YCo12Ge6 crystal.

Values from the calculation:
total magnetic moment: 22.399 Bohr magnetons per cell

Cell and atoms, written as CIF:
```
data_YCo12Ge6
_chemical_formula_sum 'Y3 Co36 Ge18'
_cell_length_a 10.5934
_cell_length_b 10.5934
_cell_length_c 7.9760
_cell_angle_alpha 90.00
_cell_angle_beta 90.00
_cell_angle_gamma 120.00
_space_group_name_H-M_alt 'R -3 m'
_space_group_IT_number 166
_space_group_name_Hall '-R 3 2"'
loop_
_atom_site_label
_atom_site_fract_x
_atom_site_fract_y
_atom_site_fract_z
Y1 0.0000 0.0000 0.0000
Co1 0.0000 0.3763 0.5000
Co2 0.0823 0.1646 0.3463
Ge1 0.0290 0.5145 0.2663
```


DFT (PBE) results for a relaxed Y8Co2Ge crystal.

Values from the calculation:
total magnetic moment: 0.001 Bohr magnetons per cell

Cell and atoms, written as CIF:
```
data_Y8Co2Ge
_chemical_formula_sum 'Y16 Co4 Ge2'
_cell_length_a 8.293
_cell_length_b 12.462
_cell_length_c 5.979
_cell_angle_alpha 90.00
_cell_angle_beta 107.09
_cell_angle_gamma 90.00
_space_group_name_H-M_alt 'C 1 m 1'
_space_group_IT_number 8
_space_group_name_Hall 'C -2y'
loop_
_atom_site_label
_atom_site_fract_x
_atom_site_fract_y
_atom_site_fract_z
Y1 0.000 0.000 0.000
Y2 0.070 0.366 0.783
Y3 0.156 0.136 0.580
Y4 0.238 0.500 0.391
Y5 0.362 0.225 0.188
Co1 0.364 0.312 0.695
Ge1 0.366 0.000 0.357
```


DFT (PBE) results for a relaxed Y2Co2Ge crystal.

Values from the calculation:
total magnetic moment: 0.001 Bohr magnetons per cell
E above lowest polymorph: 0.000 eV/f.u.

Cell and atoms, written as CIF:
```
data_Y2Co2Ge
_chemical_formula_sum 'Y8 Co8 Ge4'
_cell_length_a 9.264
_cell_length_b 5.394
_cell_length_c 7.492
_cell_angle_alpha 90.00
_cell_angle_beta 103.29
_cell_angle_gamma 90.00
_space_group_name_H-M_alt 'C 1 2/c 1'
_space_group_IT_number 15
_space_group_name_Hall '-C 2yc'
loop_
_atom_site_label
_atom_site_fract_x
_atom_site_fract_y
_atom_site_fract_z
Y1 0.148 0.143 0.147
Co1 0.139 0.359 0.501
Ge1 0.000 0.371 0.750
```


Calculated final energy (eV per atom), listed in the same order as above: -5.81 -6.34 -6.57 -6.82